*A*
VASP calculation (PBE-GGA) on crystalline Mn2IrBr at its relaxed geometry.

Computed properties:
The total magnetization comes out at 0.0000 μB/atom. Its space group is Fm-3m, No. 225. The value obtained for the volume is 13.9 A^3/atom.

Lattice parameters (Å, degrees): 4.2800 4.2800 4.2800 60.00 60.00 60.00
Atoms (fractional coordinates):
Mn: 0.2500 0.2500 0.2500
Mn: 0.7500 0.7500 0.7500
Ir: 0.0000 0.0000 0.0000
Br: 0.5000 0.5000 0.5000


*B*
VASP calculation (PBE-GGA) on crystalline Mn2IrBr at its relaxed geometry.

Computed properties:
The total magnetization comes out at 2.0122 μB/atom. Its space group is C2/m, No. 12. The value obtained for the volume is 20.1 A^3/atom.

Lattice parameters (Å, degrees): 4.1623 4.1623 7.7211 116.84 116.84 43.54
Atoms (fractional coordinates):
Mn: 0.1976 0.1976 0.3196
Mn: 0.8024 0.8024 0.6804
Ir: 0.0000 0.0000 0.5000
Br: 0.5000 0.5000 0.0000


*C*
VASP calculation (PBE-GGA) on crystalline Mn2IrBr at its relaxed geometry.

Computed properties:
The total magnetization comes out at 1.9516 μB/atom. Its space group is Cmm2, No. 35. The value obtained for the volume is 17.7 A^3/atom.

Lattice parameters (Å, degrees): 2.9146 2.9146 9.2525 90.00 90.00 115.91
Atoms (fractional coordinates):
Mn: 0.0000 0.0000 0.0000
Mn: 0.5000 0.5000 0.2331
Ir: 0.5000 0.5000 0.7952
Br: 0.0000 0.0000 0.4488


Calculated relative energies: *A* 729; *B* 0; *C* 290, given in meV/atom


*A*
VASP calculation (PBE-GGA) on crystalline Mn2IrBr at its relaxed geometry.

Computed properties:
The total magnetization comes out at 1.5537 μB/atom. Its space group is I4mm, No. 107. The value obtained for the volume is 16.7 A^3/atom.

Lattice parameters (Å, degrees): 7.4651 7.4651 7.4651 156.34 156.34 33.71
Atoms (fractional coordinates):
Mn: 0.0000 0.0000 0.0000
Mn: 0.3877 0.3877 0.0000
Ir: 0.7985 0.7985 0.0000
Br: 0.6211 0.6211 0.0000


*B*
VASP calculation (PBE-GGA) on crystalline Mn2IrBr at its relaxed geometry.

Computed properties:
The total magnetization comes out at 2.2967 μB/atom. Its space group is I-42d, No. 122. The value obtained for the volume is 25.8 A^3/atom.

Lattice parameters (Å, degrees): 7.0486 7.0486 7.0486 128.91 128.91 75.16
Atoms (fractional coordinates):
Mn: 0.0905 0.6250 0.9655
Mn: 0.3750 0.3405 0.4655
Mn: 0.6595 0.1250 0.0345
Mn: 0.8750 0.9095 0.5345
Ir: 0.0000 0.0000 0.0000
Ir: 0.7500 0.2500 0.5000
Br: 0.2500 0.7500 0.5000
Br: 0.5000 0.5000 0.0000


*C*
VASP calculation (PBE-GGA) on crystalline Mn2IrBr at its relaxed geometry.

Computed properties:
The total magnetization comes out at 1.4340 μB/atom. Its space group is R3m, No. 160. The value obtained for the volume is 16.3 A^3/atom.

Lattice parameters (Å, degrees): 8.8387 8.8387 8.8387 19.22 19.22 19.22
Atoms (fractional coordinates):
Mn: 0.0000 0.0000 0.0000
Mn: 0.2559 0.2559 0.2559
Ir: 0.5180 0.5180 0.5180
Br: 0.7380 0.7380 0.7380


*D*
VASP calculation (PBE-GGA) on crystalline Mn2IrBr at its relaxed geometry.

Computed properties:
The total magnetization comes out at 2.2047 μB/atom. Its space group is Pmmm, No. 47. The value obtained for the volume is 18.3 A^3/atom.

Lattice parameters (Å, degrees): 3.1294 3.1715 7.3645 90.00 90.00 90.00
Atoms (fractional coordinates):
Mn: 0.0000 0.0000 0.2029
Mn: 0.0000 0.0000 0.7971
Ir: 0.5000 0.5000 0.0000
Br: 0.5000 0.0000 0.5000


Calculated relative energies: *A* 185; *B* 594; *C* 355; *D* 0, given in meV/atom


*A*
VASP calculation (PBE-GGA) on crystalline Mn2IrBr at its relaxed geometry.

Computed properties:
The total magnetization comes out at 2.0464 μB/atom. Its space group is Immm, No. 71. The value obtained for the volume is 16.5 A^3/atom.

Lattice parameters (Å, degrees): 5.1088 5.1088 5.1088 143.25 122.65 70.08
Atoms (fractional coordinates):
Mn: 0.2493 0.2493 0.0000
Mn: 0.7507 0.7507 0.0000
Ir: 0.5000 0.0000 0.5000
Br: 0.0000 0.5000 0.5000


*B*
VASP calculation (PBE-GGA) on crystalline Mn2IrBr at its relaxed geometry.

Computed properties:
The total magnetization comes out at 2.3096 μB/atom. Its space group is P4/mmm, No. 123. The value obtained for the volume is 17.1 A^3/atom.

Lattice parameters (Å, degrees): 4.7180 4.7180 3.0648 90.00 90.00 90.00
Atoms (fractional coordinates):
Mn: 0.0000 0.5000 0.0000
Mn: 0.5000 0.0000 0.0000
Ir: 0.0000 0.0000 0.5000
Br: 0.5000 0.5000 0.5000


*C*
VASP calculation (PBE-GGA) on crystalline Mn2IrBr at its relaxed geometry.

Computed properties:
The total magnetization comes out at 1.3339 μB/atom. Its space group is Imm2, No. 44. The value obtained for the volume is 20.6 A^3/atom.

Lattice parameters (Å, degrees): 7.6397 7.6397 7.6397 154.88 154.16 36.35
Atoms (fractional coordinates):
Mn: 0.0000 0.0000 0.0000
Mn: 0.8571 0.3571 0.5000
Ir: 0.4972 0.4972 0.0000
Br: 0.2592 0.7592 0.5000


*D*
VASP calculation (PBE-GGA) on crystalline Mn2IrBr at its relaxed geometry.

Computed properties:
The total magnetization comes out at 1.9805 μB/atom. Its space group is Pmmm, No. 47. The value obtained for the volume is 16.1 A^3/atom.

Lattice parameters (Å, degrees): 3.0652 4.4351 4.7513 90.00 90.00 90.00
Atoms (fractional coordinates):
Mn: 0.0000 0.0000 0.0000
Mn: 0.5000 0.0000 0.5000
Ir: 0.0000 0.5000 0.5000
Br: 0.5000 0.5000 0.0000


Calculated relative energies: *A* 201; *B* 0; *C* 42; *D* 241, given in meV/atom